(one)
{
  "formula": "Ho2ZrCd",
  "functional": "GGA-PBE",
  "state": "optimized geometry",
  "spacegroup": "R3m, No. 160",
  "lattice": [[1.697, 0.980, 10.710], [-1.697, 0.980, 10.710], [0.000, -1.959, 10.710]],
  "species": ["Ho", "Ho", "Zr", "Cd"],
  "frac_coords": [[0.000, 0.000, 0.000], [0.169, 0.169, 0.169], [0.584, 0.584, 0.584], [0.751, 0.751, 0.751]]
}


(two)
{
  "formula": "Ho2ZrCd",
  "functional": "GGA-PBE",
  "state": "optimized geometry",
  "spacegroup": "Fm-3m, No. 225",
  "lattice": [[0.000, 3.744, 3.744], [3.744, 0.000, 3.744], [3.744, 3.744, 0.000]],
  "species": ["Ho", "Ho", "Zr", "Cd"],
  "frac_coords": [[0.250, 0.250, 0.250], [0.750, 0.750, 0.750], [0.000, 0.000, 0.000], [0.500, 0.500, 0.500]]
}


If we sort the structures by their calculated energies, the order from most to least stable is (one), (two).